1.
This record from Alexandria via LeMat-Bulk describes a relaxed structure of LaMn2Cl. The functional is PBE.

Cell and atoms, written as POSCAR:
```
LaMn2Cl
1.0
-2.1353 -2.5037 0.6188
1.2718 -0.3244 3.0803
-6.0168 5.8991 3.1056
Mn Cl La
2 1 1
Cartesian
-0.1829 0.1793 0.0944
-1.2485 -0.6133 2.2711
-3.4177 3.3509 1.7641
-5.0395 3.1036 4.2279
```

Electronic total energy: -25.875 eV for the cell shown
Symmetry: P4mm
DOS at the Fermi energy: 3.61 states/eV/f.u.



2.
This record from Alexandria via LeMat-Bulk describes a relaxed structure of LaMnCl2. The functional is PBE.

Cell and atoms, written as POSCAR:
```
LaMnCl2
1.0
-0.2217 3.5027 -2.9865
-4.5218 -0.7249 -0.5158
-0.7803 2.6308 3.1435
Cl Mn La
2 1 1
Cartesian
-2.3717 1.3889 -1.7511
0.0000 0.0000 0.0000
-2.6510 0.9529 1.3139
-0.5010 3.0668 0.0785
```

Electronic total energy: -21.041 eV for the cell shown
Symmetry: P4/mmm
DOS at the Fermi energy: 2.35 states/eV/f.u.



3.
This record from Alexandria via LeMat-Bulk describes a relaxed structure of LaMn2Cl. The functional is PBE.

Cell and atoms, written as POSCAR:
```
LaMn2Cl
1.0
4.4961 0.0000 0.0000
0.0000 4.4961 0.0000
2.2481 2.2481 7.6183
Mn La Cl
4 2 2
Cartesian
2.2477 3.3721 1.9046
5.6201 4.4965 5.7137
2.2484 1.1240 1.9046
3.3721 4.4958 5.7137
0.0000 0.0000 0.0000
4.4961 2.2481 3.8092
2.2481 4.4961 3.8092
2.2481 2.2481 0.0000
```

Electronic total energy: -47.842 eV for the cell shown
Symmetry: I4_1/amd
DOS at the Fermi energy: 5.43 states/eV/f.u.



Among the records above, which one has the highest electronic total energy?
LaMnCl2



What did the first record say?
This record from Alexandria via LeMat-Bulk describes a relaxed structure of LaMn2Cl. The functional is PBE.

Cell and atoms, written as POSCAR:
```
LaMn2Cl
1.0
-2.1353 -2.5037 0.6188
1.2718 -0.3244 3.0803
-6.0168 5.8991 3.1056
Mn Cl La
2 1 1
Cartesian
-0.1829 0.1793 0.0944
-1.2485 -0.6133 2.2711
-3.4177 3.3509 1.7641
-5.0395 3.1036 4.2279
```

Electronic total energy: -25.875 eV for the cell shown
Symmetry: P4mm
DOS at the Fermi energy: 3.61 states/eV/f.u.